Entry from the Alexandria database: a geometry-optimized In2MoIrO structure (PBE+U).

Lattice parameters (Å, degrees): 5.1303 5.1303 4.9667 90.00 90.00 90.00
Closest atoms and distances in Å follow each position.
Space group P4/mmm (No. 123)
Inequivalent atoms, fractional coordinates:
In (0.0000, 0.5000, 0.0000)  2 Ir 2.57
Mo (0.0000, 0.0000, 0.5000)  2 Ir 2.48
Ir (0.0000, 0.0000, 0.0000)  2 Mo 2.48, 4 In 2.57
O (0.5000, 0.5000, 0.5000)  8 In 3.57, 4 Mo 3.63

Properties
Magnetization in μB per formula unit: 2.516
Energy in eV/atom: -4.539
Fermi-level density of states in states/eV/f.u.: 3.63